No. 1
ErTlCdPd after structural relaxation. Source: the Alexandria database, functional PBE.

a = 4.9712 Å, b = 4.9712 Å, c = 4.9712 Å
α = 60.00°, β = 60.00°, γ = 60.00°
With the nearest neighbours (Å) after each atom.
Sites, in units of the cell vectors:
Pd1 0.5000 0.5000 0.5000  4 Cd 3.04, 4 Er 3.04
Tl1 0.0000 0.0000 0.0000  4 Er 3.04, 4 Cd 3.04
Cd1 0.7500 0.7500 0.7500  4 Tl 3.04, 4 Pd 3.04
Er1 0.2500 0.2500 0.2500  4 Tl 3.04, 4 Pd 3.04

Space group   F-43m, No. 216
Energy of formation from the pure elements   -0.407 eV per atom
Raw total energy   -3.67 eV per atom

No. 2
ErTmCdPd after structural relaxation. Source: the Alexandria database, functional PBE.

a = 5.0688 Å, b = 5.0688 Å, c = 5.0688 Å
α = 60.00°, β = 60.00°, γ = 60.00°
With the nearest neighbours (Å) after each atom.
Sites, in units of the cell vectors:
Tm1 0.0000 0.0000 0.0000  4 Pd 3.10, 4 Cd 3.10
Pd1 0.2500 0.2500 0.2500  4 Er 3.10, 4 Tm 3.10
Er1 0.5000 0.5000 0.5000  4 Cd 3.10, 4 Pd 3.10
Cd1 0.7500 0.7500 0.7500  4 Er 3.10, 4 Tm 3.10

Space group   F-43m, No. 216
Excess energy over the best structure of this formula in the dataset   54 meV/atom
Energy of formation from the pure elements   -0.572 eV per atom
Raw total energy   -4.36 eV per atom

No. 3
ErTm2CdPd4 after structural relaxation. Source: the Alexandria database, functional PBE.

a = 4.8346 Å, b = 4.8346 Å, c = 8.3727 Å
α = 73.22°, β = 73.22°, γ = 60.00°
With the nearest neighbours (Å) after each atom.
Sites, in units of the cell vectors:
Tm1 0.7555 0.7555 0.7335  8 Pd 2.90-3.03
Tm2 0.2445 0.2445 0.2665  8 Pd 2.90-3.03
Er1 0.0000 0.0000 0.0000  8 Pd 2.87-2.94
Pd1 0.1213 0.1213 0.6361  1 Er 2.87, 4 Tm 2.90-2.92, 3 Cd 2.99
Pd2 0.6277 0.6277 0.1170  3 Er 2.94, 1 Cd 3.02, 4 Tm 3.03
Pd3 0.3723 0.3723 0.8830  3 Er 2.94, 1 Cd 3.02, 4 Tm 3.03
Pd4 0.8787 0.8787 0.3639  1 Er 2.87, 4 Tm 2.90-2.92, 3 Cd 2.99
Cd1 0.5000 0.5000 0.5000  8 Pd 2.99-3.02, 6 Tm 3.34

Space group   R-3m, No. 166
Energy of formation from the pure elements   -0.847 eV per atom
Raw total energy   -5.25 eV per atom

No. 4
ErTmCdPd after structural relaxation. Source: the Alexandria database, functional PBE.

a = 3.5541 Å, b = 3.5541 Å, c = 7.3119 Å
α = 90.00°, β = 90.00°, γ = 90.00°
With the nearest neighbours (Å) after each atom.
Sites, in units of the cell vectors:
Cd1 0.0000 0.0000 0.8587  4 Tm 3.21, 4 Er 3.22, 4 Cd 3.55
Pd1 0.0000 0.0000 0.3545  4 Tm 3.00, 4 Er 3.02
Er1 0.5000 0.5000 0.5833  4 Pd 3.02, 4 Cd 3.22, 1 Tm 3.30
Tm1 0.5000 0.5000 0.1313  4 Pd 3.00, 4 Cd 3.21, 1 Er 3.30

Space group   P4mm, No. 99
Excess energy over the best structure of this formula in the dataset   0 meV/atom
Energy of formation from the pure elements   -0.626 eV per atom
Raw total energy   -4.41 eV per atom

No. 5
Er2Zn2CdPd5 after structural relaxation. Source: the Alexandria database, functional PBE.

a = 3.8116 Å, b = 9.6849 Å, c = 9.6849 Å
α = 90.00°, β = 90.00°, γ = 90.00°
With the nearest neighbours (Å) after each atom.
Sites, in units of the cell vectors:
Pd1 0.5000 0.0000 0.5000  4 Zn 2.51
Pd2 0.5000 0.7066 0.4284  2 Zn 2.58, 2 Cd 2.85
Pd3 0.5000 0.5000 0.0000  4 Zn 2.51
Pd4 0.5000 0.7934 0.9284  2 Zn 2.58, 2 Cd 2.85
Pd5 0.5000 0.4284 0.2934  2 Zn 2.58, 2 Cd 2.85
Pd6 0.5000 0.5716 0.7066  2 Zn 2.58, 2 Cd 2.85
Pd7 0.5000 0.0716 0.7934  2 Zn 2.58, 2 Cd 2.85
Pd8 0.5000 0.9284 0.2066  2 Zn 2.58, 2 Cd 2.85
Pd9 0.5000 0.2066 0.0716  2 Zn 2.58, 2 Cd 2.85
Pd10 0.5000 0.2934 0.5716  2 Zn 2.58, 2 Cd 2.85
Cd1 0.0000 0.0000 0.0000  8 Pd 2.85
Cd2 0.0000 0.5000 0.5000  8 Pd 2.85
Er1 0.0000 0.6769 0.1769  3 Zn 2.79-2.92, 6 Pd 3.08-3.11
Er2 0.0000 0.8231 0.6769  3 Zn 2.79-2.92, 6 Pd 3.08-3.11
Er3 0.0000 0.3231 0.8231  3 Zn 2.79-2.92, 6 Pd 3.08-3.11
Er4 0.0000 0.1769 0.3231  3 Zn 2.79-2.92, 6 Pd 3.08-3.11
Zn1 0.0000 0.6197 0.8803  6 Pd 2.51-2.58, 1 Er 2.79
Zn2 0.0000 0.8803 0.3803  6 Pd 2.51-2.58, 1 Er 2.79
Zn3 0.0000 0.3803 0.1197  6 Pd 2.51-2.58, 1 Er 2.79
Zn4 0.0000 0.1197 0.6197  6 Pd 2.51-2.58, 1 Er 2.79

Space group   P4/mbm, No. 127
Energy of formation from the pure elements   -0.684 eV per atom
Raw total energy   -4.54 eV per atom

No. 6
ErZnCdPd after structural relaxation. Source: the Alexandria database, functional PBE.

a = 4.7888 Å, b = 4.7888 Å, c = 4.7888 Å
α = 60.00°, β = 60.00°, γ = 60.00°
With the nearest neighbours (Å) after each atom.
Sites, in units of the cell vectors:
Cd1 0.7500 0.7500 0.7500  4 Zn 2.93, 4 Pd 2.93
Er1 0.2500 0.2500 0.2500  4 Pd 2.93, 4 Zn 2.93
Pd1 0.5000 0.5000 0.5000  4 Cd 2.93, 4 Er 2.93
Zn1 0.0000 0.0000 0.0000  4 Er 2.93, 4 Cd 2.93

Space group   F-43m, No. 216
Energy of formation from the pure elements   -0.494 eV per atom
Raw total energy   -3.48 eV per atom

No. 7
Pm14ErCd after structural relaxation. Source: the Alexandria database, functional PBE.

a = 7.1877 Å, b = 7.1877 Å, c = 10.2504 Å
α = 90.00°, β = 90.00°, γ = 89.99°
With the nearest neighbours (Å) after each atom.
Sites, in units of the cell vectors:
Pm1 0.6257 0.8757 0.2456  1 Cd 3.57, 10 Pm 3.58-3.65, 1 Er 3.58
Pm2 0.8753 0.6257 0.0000  8 Pm 3.58, 2 Cd 3.59-3.60, 2 Er 3.59-3.60
Pm3 0.8748 0.6249 0.5000  12 Pm 3.59-3.64
Pm4 0.1243 0.3743 0.2456  1 Cd 3.57, 10 Pm 3.58-3.65, 1 Er 3.58
Pm5 0.8749 0.1251 0.5000  12 Pm 3.59-3.64
Pm6 0.6257 0.3743 0.7549  1 Cd 3.57, 10 Pm 3.58-3.65, 1 Er 3.58
Pm7 0.3751 0.1252 0.5000  12 Pm 3.59-3.64
Pm8 0.1244 0.8756 0.7542  1 Cd 3.57, 10 Pm 3.58-3.64, 1 Er 3.58
Pm9 0.1243 0.3743 0.7544  1 Cd 3.57, 10 Pm 3.58-3.65, 1 Er 3.58
Pm10 0.3752 0.6248 0.5000  12 Pm 3.59-3.65
Pm11 0.3743 0.1247 0.0000  8 Pm 3.58, 2 Cd 3.59-3.60, 2 Er 3.59-3.60
Pm12 0.6257 0.3743 0.2451  1 Cd 3.57, 10 Pm 3.58-3.65, 1 Er 3.58
Pm13 0.1244 0.8756 0.2458  1 Cd 3.57, 10 Pm 3.58-3.64, 1 Er 3.58
Pm14 0.6257 0.8757 0.7544  1 Cd 3.57, 10 Pm 3.58-3.65, 1 Er 3.58
Cd1 0.8751 0.1249 0.0000  12 Pm 3.57-3.60
Er1 0.3750 0.6250 0.0000  12 Pm 3.58-3.60

Space group   Amm2, No. 38
Energy of formation from the pure elements   -0.011 eV per atom
Raw total energy   -4.51 eV per atom

No. 8
Pm7ErCd2 after structural relaxation. Source: the Alexandria database, functional PBE.

a = 5.3024 Å, b = 9.2852 Å, c = 9.2852 Å
α = 121.82°, β = 90.00°, γ = 90.00°
With the nearest neighbours (Å) after each atom.
Sites, in units of the cell vectors:
Pm1 0.5000 0.2990 0.0674  2 Cd 3.15-3.47, 2 Pm 3.31-3.42
Pm2 0.5000 0.5000 0.5000  2 Cd 3.19, 4 Pm 3.42
Pm3 0.5000 0.9326 0.7010  2 Cd 3.15-3.47, 2 Pm 3.31-3.42
Pm4 0.0000 0.7795 0.2205  2 Cd 2.97
Pm5 0.5000 0.0674 0.2990  2 Cd 3.15-3.47, 2 Pm 3.31-3.42
Pm6 0.0000 0.2205 0.7795  2 Cd 2.97
Pm7 0.5000 0.7010 0.9326  2 Cd 3.15-3.47, 2 Pm 3.31-3.42
Cd1 0.5000 0.6964 0.3036  5 Pm 2.97-3.19
Cd2 0.5000 0.3036 0.6964  5 Pm 2.97-3.19
Er1 0.0000 0.0000 0.0000  10 Pm 3.58-3.65

Space group   Cmmm, No. 65
Energy of formation from the pure elements   0.382 eV per atom
Raw total energy   -3.58 eV per atom

Q: Which of these has the lowest energy of formation from the pure elements?
A: ErTm2CdPd4